## ErTmIn (PBE)

Data for crystalline ErTmIn at its relaxed geometry.

M_tot: 0.00 μB per formula unit
Offset from the most stable computed form: 70 meV/atom
Calculated total energy: -4.168 eV/atom
Energy relative to the elements: -0.73 eV/f.u.

Cell and atoms, written as CIF:
```
data_ErTmIn
_chemical_formula_sum 'Er2 Tm2 In2'
_space_group_name_H-M_alt 'P 1'
_space_group_IT_number 1
_space_group_name_Hall 'P 1'
_cell_length_a 4.5635
_cell_length_b 4.5635
_cell_length_c 8.2524
_cell_angle_alpha 89.97
_cell_angle_beta 90.03
_cell_angle_gamma 90.00
loop_
_atom_site_label
_atom_site_type_symbol
_atom_site_fract_x
_atom_site_fract_y
_atom_site_fract_z
Tm1 Tm 0.7505 0.2495 0.3509
Tm2 Tm 0.2495 0.7505 0.6491
Er1 Er 0.2500 0.2500 0.0000
Er2 Er 0.7500 0.7500 0.0000
In1 In 0.2504 0.7496 0.2728
In2 In 0.7496 0.2504 0.7272
```

***

## Er4Tm5In (PBE)

Data for crystalline Er4Tm5In at its relaxed geometry.

M_tot: 0.00 μB per formula unit
Offset from the most stable computed form: 208 meV/atom
Calculated total energy: -4.203 eV/atom
Energy relative to the elements: 1.32 eV/f.u.

Cell and atoms, written as CIF:
```
data_Er4Tm5In
_chemical_formula_sum 'Er4 Tm5 In1'
_space_group_name_H-M_alt 'P 1'
_space_group_IT_number 1
_space_group_name_Hall 'P 1'
_cell_length_a 5.7040
_cell_length_b 7.9277
_cell_length_c 7.9277
_cell_angle_alpha 82.56
_cell_angle_beta 68.92
_cell_angle_gamma 68.92
loop_
_atom_site_label
_atom_site_type_symbol
_atom_site_fract_x
_atom_site_fract_y
_atom_site_fract_z
Er1 Er 0.7736 0.6833 0.6832
Er2 Er 0.4568 0.6832 0.3167
Er3 Er 0.4568 0.3168 0.6833
Er4 Er 0.1400 0.3167 0.3168
Tm1 Tm 0.6702 0.0000 0.0000
Tm2 Tm 0.1420 0.0000 0.6288
Tm3 Tm 0.7707 0.0000 0.3712
Tm4 Tm 0.1419 0.6288 0.0000
Tm5 Tm 0.7708 0.3712 0.0000
In1 In 0.1875 0.0000 0.0000
```

***

## ErTm3In (PBE)

Data for crystalline ErTm3In at its relaxed geometry.

M_tot: 0.00 μB per formula unit
Offset from the most stable computed form: 0 meV/atom
Calculated total energy: -4.321 eV/atom
Energy relative to the elements: -0.89 eV/f.u.

Cell and atoms, written as CIF:
```
data_ErTm3In
_chemical_formula_sum 'Er2 Tm6 In2'
_space_group_name_H-M_alt 'P 1'
_space_group_IT_number 1
_space_group_name_Hall 'P 1'
_cell_length_a 4.7545
_cell_length_b 4.7519
_cell_length_c 12.6395
_cell_angle_alpha 90.00
_cell_angle_beta 79.16
_cell_angle_gamma 90.00
loop_
_atom_site_label
_atom_site_type_symbol
_atom_site_fract_x
_atom_site_fract_y
_atom_site_fract_z
Tm1 Tm 0.8764 0.7500 0.8956
Tm2 Tm 0.3727 0.2500 0.9030
Tm3 Tm 0.0737 0.7500 0.5009
Tm4 Tm 0.5746 0.2500 0.4991
Tm5 Tm 0.7720 0.2500 0.1044
Tm6 Tm 0.2757 0.7500 0.0970
In1 In 0.6729 0.7500 0.3026
In2 In 0.9755 0.2500 0.6974
Er1 Er 0.1746 0.2500 0.2992
Er2 Er 0.4738 0.7500 0.7008
```

***

## Er3Tm4In2 (PBE)

Data for crystalline Er3Tm4In2 at its relaxed geometry.

M_tot: 0.00 μB per formula unit
Calculated total energy: -4.312 eV/atom
Energy relative to the elements: -1.76 eV/f.u.

Cell and atoms, written as CIF:
```
data_Er3Tm4In2
_chemical_formula_sum 'Er3 Tm4 In2'
_space_group_name_H-M_alt 'P 1'
_space_group_IT_number 1
_space_group_name_Hall 'P 1'
_cell_length_a 5.2035
_cell_length_b 6.7515
_cell_length_c 9.3109
_cell_angle_alpha 59.27
_cell_angle_beta 73.80
_cell_angle_gamma 67.35
loop_
_atom_site_label
_atom_site_type_symbol
_atom_site_fract_x
_atom_site_fract_y
_atom_site_fract_z
In1 In 0.2137 0.8894 0.6837
In2 In 0.7863 0.1106 0.3163
Er1 Er 0.4254 0.8048 0.3443
Er2 Er 0.5746 0.1952 0.6557
Er3 Er 0.0000 0.0000 0.0000
Tm1 Tm 0.3316 0.3692 0.9675
Tm2 Tm 0.1221 0.4139 0.3420
Tm3 Tm 0.8779 0.5861 0.6580
Tm4 Tm 0.6684 0.6308 0.0325
```

***

## Er2Tm7In2 (PBE)

Data for crystalline Er2Tm7In2 at its relaxed geometry.

M_tot: 0.00 μB per formula unit
Calculated total energy: -4.186 eV/atom
Energy relative to the elements: -0.14 eV/f.u.

Cell and atoms, written as CIF:
```
data_Er2Tm7In2
_chemical_formula_sum 'Er2 Tm7 In2'
_space_group_name_H-M_alt 'P 1'
_space_group_IT_number 1
_space_group_name_Hall 'P 1'
_cell_length_a 8.0818
_cell_length_b 6.4539
_cell_length_c 6.4539
_cell_angle_alpha 93.14
_cell_angle_beta 80.24
_cell_angle_gamma 80.24
loop_
_atom_site_label
_atom_site_type_symbol
_atom_site_fract_x
_atom_site_fract_y
_atom_site_fract_z
Tm1 Tm 0.0000 0.0000 0.0000
Tm2 Tm 0.8233 0.8922 0.4791
Tm3 Tm 0.5230 0.3107 0.3107
Tm4 Tm 0.4770 0.6893 0.6893
Tm5 Tm 0.1767 0.1078 0.5209
Tm6 Tm 0.8233 0.4791 0.8922
Tm7 Tm 0.1767 0.5209 0.1078
Er1 Er 0.5000 0.1793 0.8207
Er2 Er 0.5000 0.8207 0.1793
In1 In 0.1433 0.6091 0.6091
In2 In 0.8567 0.3909 0.3909
```

***

## Er4Tm5In (PBE)

Data for crystalline Er4Tm5In at its relaxed geometry.

M_tot: 0.00 μB per formula unit
Offset from the most stable computed form: 0 meV/atom
Calculated total energy: -4.411 eV/atom
Energy relative to the elements: -0.76 eV/f.u.

Cell and atoms, written as CIF:
```
data_Er4Tm5In
_chemical_formula_sum 'Er4 Tm5 In1'
_space_group_name_H-M_alt 'P 1'
_space_group_IT_number 1
_space_group_name_Hall 'P 1'
_cell_length_a 3.5005
_cell_length_b 3.5005
_cell_length_c 24.0701
_cell_angle_alpha 90.00
_cell_angle_beta 90.00
_cell_angle_gamma 90.00
loop_
_atom_site_label
_atom_site_type_symbol
_atom_site_fract_x
_atom_site_fract_y
_atom_site_fract_z
Er1 Er 0.0000 0.0000 0.8095
Er2 Er 0.0000 0.0000 0.6032
Er3 Er 0.0000 0.0000 0.1905
Er4 Er 0.0000 0.0000 0.3968
Tm1 Tm 0.5000 0.5000 0.5000
Tm2 Tm 0.5000 0.5000 0.9122
Tm3 Tm 0.5000 0.5000 0.2939
Tm4 Tm 0.5000 0.5000 0.0878
Tm5 Tm 0.5000 0.5000 0.7061
In1 In 0.0000 0.0000 0.0000
```

***

## Er4Tm2In (PBE)

Data for crystalline Er4Tm2In at its relaxed geometry.

M_tot: 0.00 μB per formula unit
Offset from the most stable computed form: 0 meV/atom
Calculated total energy: -4.315 eV/atom
Energy relative to the elements: -0.27 eV/f.u.

Cell and atoms, written as CIF:
```
data_Er4Tm2In
_chemical_formula_sum 'Er8 Tm4 In2'
_space_group_name_H-M_alt 'P 1'
_space_group_IT_number 1
_space_group_name_Hall 'P 1'
_cell_length_a 6.3590
_cell_length_b 6.3590
_cell_length_c 11.4886
_cell_angle_alpha 101.95
_cell_angle_beta 101.95
_cell_angle_gamma 104.58
loop_
_atom_site_label
_atom_site_type_symbol
_atom_site_fract_x
_atom_site_fract_y
_atom_site_fract_z
Er1 Er 0.2929 0.7164 0.7340
Er2 Er 0.3995 0.3752 0.1618
Er3 Er 0.4876 0.9634 0.3382
Er4 Er 0.2134 0.2376 0.8382
Er5 Er 0.8089 0.7324 0.7660
Er6 Er 0.9824 0.5589 0.2660
Er7 Er 0.9664 0.0429 0.2340
Er8 Er 0.6252 0.1494 0.6618
Tm1 Tm 0.2035 0.7754 0.0248
Tm2 Tm 0.7506 0.1788 0.9752
Tm3 Tm 0.0254 0.9535 0.5248
Tm4 Tm 0.4288 0.5006 0.4752
In1 In 0.9011 0.4011 0.5000
In2 In 0.6511 0.6511 0.0000
```

***

## Er5Tm2In5 (PBE)

Data for crystalline Er5Tm2In5 at its relaxed geometry.

M_tot: 0.00 μB per formula unit
Calculated total energy: -4.085 eV/atom
Energy relative to the elements: -3.57 eV/f.u.

Cell and atoms, written as CIF:
```
data_Er5Tm2In5
_chemical_formula_sum 'Er5 Tm2 In5'
_space_group_name_H-M_alt 'P 1'
_space_group_IT_number 1
_space_group_name_Hall 'P 1'
_cell_length_a 5.0248
_cell_length_b 6.4935
_cell_length_c 11.7121
_cell_angle_alpha 108.75
_cell_angle_beta 90.00
_cell_angle_gamma 112.76
loop_
_atom_site_label
_atom_site_type_symbol
_atom_site_fract_x
_atom_site_fract_y
_atom_site_fract_z
Er1 Er 0.6516 0.3032 0.9992
Er2 Er 0.3484 0.6968 0.0008
Er3 Er 0.5000 0.0000 0.5000
Er4 Er 0.6307 0.2613 0.2744
Er5 Er 0.3693 0.7387 0.7256
In1 In 0.8351 0.6703 0.5336
In2 In 0.0000 0.0000 0.0000
In3 In 0.1649 0.3297 0.4664
In4 In 0.2615 0.5231 0.2218
In5 In 0.7385 0.4769 0.7782
Tm1 Tm 0.0764 0.1527 0.7572
Tm2 Tm 0.9236 0.8473 0.2428
```

***

## ErTmIn (PBE)

Data for crystalline ErTmIn at its relaxed geometry.

M_tot: 0.00 μB per formula unit
Offset from the most stable computed form: 0 meV/atom
Calculated total energy: -4.238 eV/atom
Energy relative to the elements: -0.94 eV/f.u.

Cell and atoms, written as CIF:
```
data_ErTmIn
_chemical_formula_sum 'Er1 Tm1 In1'
_space_group_name_H-M_alt 'P 1'
_space_group_IT_number 1
_space_group_name_Hall 'P 1'
_cell_length_a 3.4917
_cell_length_b 3.4917
_cell_length_c 7.2399
_cell_angle_alpha 103.95
_cell_angle_beta 103.95
_cell_angle_gamma 90.00
loop_
_atom_site_label
_atom_site_type_symbol
_atom_site_fract_x
_atom_site_fract_y
_atom_site_fract_z
Tm1 Tm 0.2925 0.2925 0.5851
In1 In 0.9496 0.9496 0.8992
Er1 Er 0.6079 0.6079 0.2158
```

***

## ErTmIn (PBE)

Data for crystalline ErTmIn at its relaxed geometry.

M_tot: 0.00 μB per formula unit
Offset from the most stable computed form: 101 meV/atom
Calculated total energy: -4.136 eV/atom
Energy relative to the elements: -0.64 eV/f.u.

Cell and atoms, written as CIF:
```
data_ErTmIn
_chemical_formula_sum 'Er1 Tm1 In1'
_space_group_name_H-M_alt 'P 1'
_space_group_IT_number 1
_space_group_name_Hall 'P 1'
_cell_length_a 3.5788
_cell_length_b 5.1833
_cell_length_c 5.1833
_cell_angle_alpha 120.00
_cell_angle_beta 90.00
_cell_angle_gamma 90.00
loop_
_atom_site_label
_atom_site_type_symbol
_atom_site_fract_x
_atom_site_fract_y
_atom_site_fract_z
Tm1 Tm 0.9403 0.0000 0.0000
Er1 Er 0.3834 0.3333 0.6667
In1 In 0.6762 0.6667 0.3333
```